No. 1
A plane-wave DFT calculation with GGA-PBEsol was carried out for an optimized crystal structure of HfSb2AsP.

```
data_HfSb2AsP
_symmetry_space_group_name_H-M 'P 4/m m m'
_symmetry_Int_Tables_number 123
_symmetry_space_group_name_Hall '-P 4 2'
_cell_length_a 5.1726
_cell_length_b 5.1726
_cell_length_c 4.5895
_cell_angle_alpha 90.00
_cell_angle_beta 90.00
_cell_angle_gamma 90.00
loop_
_atom_site_label
_atom_site_type_symbol
_atom_site_fract_x
_atom_site_fract_y
_atom_site_fract_z
Hf1 Hf 0.0000 0.0000 0.0000
Sb1 Sb 0.0000 0.5000 0.5000
As1 As 0.5000 0.5000 0.5000
P1 P 0.5000 0.5000 0.0000
```

Results
E_form (uncorrected) (eV per atom): 0.764
Total DFT energy (no corrections) (eV/atom): -5.34
N(E_F) (states/eV/f.u.): 3.3
M_tot (μB/f.u.): 0.00

No. 2
A plane-wave DFT calculation with GGA-PBEsol was carried out for an optimized crystal structure of HfAs2PdSe.

```
data_HfAs2PdSe
_symmetry_space_group_name_H-M 'P 4/m m m'
_symmetry_Int_Tables_number 123
_symmetry_space_group_name_Hall '-P 4 2'
_cell_length_a 5.0458
_cell_length_b 5.0458
_cell_length_c 4.9754
_cell_angle_alpha 90.00
_cell_angle_beta 90.00
_cell_angle_gamma 90.00
loop_
_atom_site_label
_atom_site_type_symbol
_atom_site_fract_x
_atom_site_fract_y
_atom_site_fract_z
Hf1 Hf 0.0000 0.0000 0.0000
As1 As 0.0000 0.5000 0.0000
Pd1 Pd 0.5000 0.5000 0.5000
Se1 Se 0.0000 0.0000 0.5000
```

Results
E_form (uncorrected) (eV per atom): 0.418
Total DFT energy (no corrections) (eV/atom): -5.69
Energy above the most stable polymorph in this dataset (kJ/mol of formula units): 18
N(E_F) (states/eV/f.u.): 3.9
M_tot (μB/f.u.): 0.00

No. 3
A plane-wave DFT calculation with GGA-PBEsol was carried out for an optimized crystal structure of HfAs2PdSe.

```
data_HfAs2PdSe
_symmetry_space_group_name_H-M 'P 4/m m m'
_symmetry_Int_Tables_number 123
_symmetry_space_group_name_Hall '-P 4 2'
_cell_length_a 4.7032
_cell_length_b 4.7032
_cell_length_c 4.8549
_cell_angle_alpha 90.00
_cell_angle_beta 90.00
_cell_angle_gamma 90.00
loop_
_atom_site_label
_atom_site_type_symbol
_atom_site_fract_x
_atom_site_fract_y
_atom_site_fract_z
Hf1 Hf 0.0000 0.0000 0.0000
As1 As 0.0000 0.5000 0.5000
Pd1 Pd 0.5000 0.5000 0.5000
Se1 Se 0.5000 0.5000 0.0000
```

Results
E_form (uncorrected) (eV per atom): 0.380
Total DFT energy (no corrections) (eV/atom): -5.72
Energy above the most stable polymorph in this dataset (kJ/mol of formula units): 0
N(E_F) (states/eV/f.u.): 3.4
M_tot (μB/f.u.): 0.00

No. 4
A plane-wave DFT calculation with GGA-PBEsol was carried out for an optimized crystal structure of RbHf3As.

```
data_RbHf3As
_symmetry_space_group_name_H-M 'P m -3 m'
_symmetry_Int_Tables_number 221
_symmetry_space_group_name_Hall '-P 4 2 3'
_cell_length_a 5.1116
_cell_length_b 5.1116
_cell_length_c 5.1116
_cell_angle_alpha 90.00
_cell_angle_beta 90.00
_cell_angle_gamma 90.00
loop_
_atom_site_label
_atom_site_type_symbol
_atom_site_fract_x
_atom_site_fract_y
_atom_site_fract_z
Rb1 Rb 0.0000 0.0000 0.0000
Hf1 Hf 0.0000 0.5000 0.5000
As1 As 0.5000 0.5000 0.5000
```

Results
Total DFT energy (no corrections) (eV/atom): -6.82
N(E_F) (states/eV/f.u.): 8.9
M_tot (μB/f.u.): 0.00

Which formula does entry 1 have?
HfSb2AsP